## RbGaSn2 (PBE)

Data for crystalline RbGaSn2 at its relaxed geometry.

Cell: 3.8486 3.8486 8.2107 Å, 90.00 90.00 90.00°
With the nearest neighbours (Å) after each atom.
Space group P4/mmm (No. 123)
Inequivalent atoms, fractional coordinates:
1 Rb 0.0000 0.0000 0.0000 (multiplicity 1)  8 Sn 3.80, 4 Rb 3.85, 2 Ga 4.11
2 Ga 0.0000 0.0000 0.5000 (multiplicity 1)  8 Sn 3.09
3 Sn 0.5000 0.5000 0.3227 (multiplicity 2)  1 Sn 2.91, 4 Ga 3.09

* calculated density: 5.361 g/cm³
* energy relative to the elements: -0.0966 eV/atom
* total moment: 0.0 μB/f.u.

## TmSi2Pd7 (PBE)

Data for crystalline TmSi2Pd7 at its relaxed geometry.

Cell: 7.3360 11.6469 4.4472 Å, 90.00 90.00 90.00°
With the nearest neighbours (Å) after each atom.
Space group Cmmm (No. 65)
Inequivalent atoms, fractional coordinates:
1 Tm 0.0000 0.0000 0.0000 (multiplicity 2)  10 Pd 2.81-3.02
2 Si 0.0000 0.3016 0.5000 (multiplicity 4)  7 Pd 2.31-2.46
3 Pd 0.0000 0.2411 0.0000 (multiplicity 4)  2 Si 2.33
4 Pd 0.0000 0.5000 0.5000 (multiplicity 2)  2 Si 2.31
5 Pd 0.1907 0.1276 0.5000 (multiplicity 8)  2 Si 2.41-2.46

* calculated density: 8.478 g/cm³
* formation energy (no corrections): -4.57 eV/f.u.
* distance to the lowest polymorph of the same formula: 319 meV per atom
* total moment: 0.0 μB/f.u.

## KRbZnAu2 (PBE)

Data for crystalline KRbZnAu2 at its relaxed geometry.

Cell: 6.0566 6.0566 6.5770 Å, 90.00 90.00 90.00°
With the nearest neighbours (Å) after each atom.
Space group P4/mmm (No. 123)
Inequivalent atoms, fractional coordinates:
1 K 0.0000 0.0000 0.0000 (multiplicity 1)  4 Au 3.03, 2 Rb 3.29
2 Rb 0.0000 0.0000 0.5000 (multiplicity 1)  2 K 3.29
3 Zn 0.5000 0.5000 0.5000 (multiplicity 1)  4 Rb 4.28, 8 Au 4.47
4 Au 0.0000 0.5000 0.0000 (multiplicity 2)  2 K 3.03

* calculated density: 4.019 g/cm³
* distance to the lowest polymorph of the same formula: 477 meV per atom
* energy relative to the elements: 0.3957 eV/atom
* total moment: 0.0 μB/f.u.

## CoNiH (PBE)

Data for crystalline CoNiH at its relaxed geometry.

Cell: 4.7451 4.7451 4.7451 Å, 90.00 90.00 90.00°
With the nearest neighbours (Å) after each atom.
Space group F-43m (No. 216)
Inequivalent atoms, fractional coordinates:
1 Co 0.0000 0.0000 0.0000 (multiplicity 4)  4 H 2.05
2 Ni 0.0000 0.0000 0.5000 (multiplicity 4)  4 H 2.05
3 H 0.2500 0.2500 0.7500 (multiplicity 4)  4 Co 2.05, 4 Ni 2.05

* calculated density: 7.375 g/cm³
* raw total energy: -4.89 eV per atom
* total moment: 2.1 μB/f.u.

Which of these has the lowest calculated density?
KRbZnAu2